DFT (PBE) results for a geometry-optimized CaThAgPt structure.

abc: 7.2582 7.2582 7.2582
angles: 90.00 90.00 90.00
Space group F-43m (No. 216)
Inequivalent atoms, fractional coordinates:
Ca  0.0000  0.0000  0.0000 [4 per cell]
Th  0.0000  0.0000  0.5000 [4 per cell]
Ag  0.2500  0.2500  0.7500 [4 per cell]
Pt  0.2500  0.2500  0.2500 [4 per cell]

DFT (PBE) results for a geometry-optimized K2LiRh structure.

abc: 5.2606 5.2606 7.4724
angles: 90.00 90.00 90.00
Space group I-4m2 (No. 119)
Inequivalent atoms, fractional coordinates:
K  0.0000  0.0000  0.0000 [2 per cell]
K  0.0000  0.5000  0.2500 [2 per cell]
Li  0.0000  0.5000  0.7500 [2 per cell]
Rh  0.0000  0.0000  0.5000 [2 per cell]

no.,formation energy from the elements (meV/atom)
1,-594
2,492